[1]
{
  "formula": "Ho4InAuO",
  "functional": "PBE",
  "state": "optimized geometry",
  "lattice": [[6.5953, 0.0000, 0.0000], [0.0000, 6.6055, 0.0000], [-3.2976, 0.0000, 7.6471]],
  "species": ["O", "O", "Ho", "Ho", "Ho", "Ho", "Ho", "Ho", "Ho", "Ho", "In", "In", "Au", "Au"],
  "frac_coords": [[0.2582, 0.7500, 0.5164], [0.7418, 0.2500, 0.4836], [0.0000, 0.0000, 0.5000], [0.5000, 0.0000, 0.5000], [0.9376, 0.2500, 0.8752], [0.4179, 0.7500, 0.8358], [0.0000, 0.5000, 0.5000], [0.5821, 0.2500, 0.1642], [0.5000, 0.5000, 0.5000], [0.0624, 0.7500, 0.1248], [0.3853, 0.2500, 0.7706], [0.6147, 0.7500, 0.2294], [0.8781, 0.7500, 0.7562], [0.1219, 0.2500, 0.2438]],
  "formation_energy_uncorrected_ev_per_atom": -1.192
}

---

[2]
{
  "formula": "Tb4NiPd",
  "functional": "PBE",
  "state": "optimized geometry",
  "lattice": [[6.9503, 0.0094, 0.0000], [-1.0144, 6.7218, 0.0000], [-2.9680, -3.3656, 6.9772]],
  "species": ["Tb", "Tb", "Tb", "Tb", "Tb", "Tb", "Tb", "Tb", "Pd", "Pd", "Ni", "Ni"],
  "frac_coords": [[0.9444, 0.2814, 0.0602], [0.0556, 0.7186, 0.9398], [0.2760, 0.5244, 0.5591], [0.7240, 0.4756, 0.4409], [0.7831, 0.0347, 0.5591], [0.2169, 0.9653, 0.4409], [0.6158, 0.7788, 0.0602], [0.3842, 0.2212, 0.9398], [0.6286, 0.3786, 0.7572], [0.3714, 0.6214, 0.2428], [0.9096, 0.1596, 0.3192], [0.0904, 0.8404, 0.6808]],
  "de_polymorph_ev_per_atom": 0.051
}

---

In the order shown, the computed calculated total energy values come out to -5.376; -5.256 eV/atom.
In the order shown, the computed calculated volume values come out to 333.14; 326.03 Å³ per cell.